Density functional theory data (PBE) for a relaxed CdAuCl2 crystal.

a b c (Å): 3.3896 3.3896 8.1347
angles (deg): 90.00 90.00 90.00
Last column: nearest neighbours and their distance in Å.
Fractional coordinates of all 4 atoms:
Cd: 0.0000 0.0000 0.0000  4 Cl 2.84, 4 Au 2.98
Au: 0.5000 0.5000 0.7824  4 Cl 2.83, 4 Cd 2.98
Cl: 0.0000 0.0000 0.5968  4 Au 2.83
Cl: 0.5000 0.5000 0.1881  4 Cd 2.84

Values from the calculation:
Theoretical density (g/cm³): 6.8
Magnetic moment (μB/cell): 0.0
E above lowest polymorph (meV per atom): 167

---

Density functional theory data (PBE) for a relaxed ZnCoBi2Pd crystal.

a b c (Å): 4.9571 4.9571 4.8943
angles (deg): 90.00 90.00 90.00
Last column: nearest neighbours and their distance in Å.
Fractional coordinates of all 5 atoms:
Zn: 0.0000 0.0000 0.0000  8 Bi 3.48, 4 Pd 3.51
Co: 0.5000 0.5000 0.5000  2 Pd 2.45, 4 Bi 2.48
Bi: 0.0000 0.5000 0.5000  2 Co 2.48
Bi: 0.5000 0.0000 0.5000  2 Co 2.48
Pd: 0.5000 0.5000 0.0000  2 Co 2.45

Values from the calculation:
Theoretical density (g/cm³): 9.0
Magnetic moment (μB/cell): 0.9
Formation energy (eV/atom): 0.503

---

Density functional theory data (PBE) for a relaxed TmCuPt3 crystal.

a b c (Å): 4.3951 6.4773 6.1022
angles (deg): 90.00 90.00 90.00
Last column: nearest neighbours and their distance in Å.
Fractional coordinates of all 10 atoms:
Tm: 0.2500 0.2500 0.2412  6 Pt 2.81-2.94, 2 Cu 2.90
Tm: 0.7500 0.7500 0.7588  6 Pt 2.81-2.94, 2 Cu 2.90
Cu: 0.2500 0.7500 0.4478  7 Pt 2.46-2.75
Cu: 0.7500 0.2500 0.5522  7 Pt 2.46-2.75
Pt: 0.2500 0.0489 0.7210  3 Cu 2.56-2.75, 2 Pt 2.60-2.77
Pt: 0.2500 0.4511 0.7210  3 Cu 2.56-2.75, 2 Pt 2.60-2.77
Pt: 0.2500 0.7500 0.0445  1 Cu 2.46
Pt: 0.7500 0.2500 0.9555  1 Cu 2.46
Pt: 0.7500 0.5489 0.2790  3 Cu 2.56-2.75, 2 Pt 2.60-2.77
Pt: 0.7500 0.9511 0.2790  3 Cu 2.56-2.75, 2 Pt 2.60-2.77

Values from the calculation:
Theoretical density (g/cm³): 15.6
Magnetic moment (μB/cell): 0.0
E above lowest polymorph (meV per atom): 0
Formation energy (eV/atom): -0.596

---

Density functional theory data (PBE) for a relaxed K2UOsO6 crystal.

a b c (Å): 6.7702 6.7702 6.7702
angles (deg): 129.39 129.39 74.38
Last column: nearest neighbours and their distance in Å.
Fractional coordinates of all 10 atoms:
K: 0.2500 0.7500 0.5000  4 O 3.00
K: 0.7500 0.2500 0.5000  4 O 3.00
U: 0.0000 0.0000 0.0000  2 O 1.90
Os: 0.5000 0.5000 0.0000  4 O 1.88
O: 0.1763 0.1763 0.0000  1 U 1.90
O: 0.2707 0.2707 0.5415  1 Os 1.88
O: 0.2707 0.7293 0.0000  1 Os 1.88
O: 0.7293 0.2707 0.0000  1 Os 1.88
O: 0.7293 0.7293 0.4585  1 Os 1.88
O: 0.8237 0.8237 0.0000  1 U 1.90

Values from the calculation:
Theoretical density (g/cm³): 5.5
Magnetic moment (μB/cell): 2.0
E (eV/atom): -7.477

---

Density functional theory data (PBE) for a relaxed NpTi2Co crystal.

a b c (Å): 2.7959 2.7959 7.8578
angles (deg): 90.00 90.00 90.00
Last column: nearest neighbours and their distance in Å.
Fractional coordinates of all 4 atoms:
Np: 0.0000 0.0000 0.0000  4 Np 2.80, 8 Ti 3.04
Ti: 0.5000 0.5000 0.2939  4 Co 2.56, 4 Ti 2.80
Ti: 0.5000 0.5000 0.7061  4 Co 2.56, 4 Ti 2.80
Co: 0.0000 0.0000 0.5000  8 Ti 2.56, 4 Co 2.80

Values from the calculation:
Theoretical density (g/cm³): 10.6
Magnetic moment (μB/cell): 0.0
E above lowest polymorph (meV per atom): 0
Formation energy (eV/atom): -0.015

---

Density functional theory data (PBE) for a relaxed LuScAgRh crystal.

a b c (Å): 4.7992 4.7992 4.7992
angles (deg): 60.00 60.00 60.00
Last column: nearest neighbours and their distance in Å.
Fractional coordinates of all 4 atoms:
Lu: 0.0000 0.0000 0.0000  4 Ag 2.94, 4 Rh 2.94
Sc: 0.5000 0.5000 0.5000  4 Ag 2.94, 4 Rh 2.94
Ag: 0.7500 0.7500 0.7500  4 Sc 2.94, 4 Lu 2.94
Rh: 0.2500 0.2500 0.2500  4 Sc 2.94, 4 Lu 2.94

Values from the calculation:
Theoretical density (g/cm³): 9.2
Magnetic moment (μB/cell): 0.0
Formation energy (eV/atom): -0.617

---

> Among the records above, which one has the highest theoretical density?

TmCuPt3